Entry 1:
# NaErP2O8 (GGA-PBE, optimized geometry)
data_NaErP2O8
_chemical_formula_sum 'Na2 Er2 P4 O16'
_cell_length_a 6.965
_cell_length_b 6.965
_cell_length_c 6.127
_cell_angle_alpha 90.00
_cell_angle_beta 90.00
_cell_angle_gamma 90.00
_symmetry_space_group_name_H-M 'I -4 m 2'
_symmetry_Int_Tables_number 119
_symmetry_space_group_name_Hall 'I -4 -2'
loop_
_atom_site_label
_atom_site_type_symbol
_atom_site_fract_x
_atom_site_fract_y
_atom_site_fract_z
Na1 Na 0.000 0.000 0.000
Er1 Er 0.000 0.500 0.250
P1 P 0.000 0.000 0.500
P2 P 0.000 0.500 0.750
O1 O 0.000 0.181 0.353
O2 O 0.000 0.326 0.908
# Spin magnetization in μB/f.u.: 2.04
# Calculated total energy in eV per atom: -6.957

Entry 2:
# Ce2As3RuRh4 (GGA-PBE, optimized geometry)
data_Ce2As3RuRh4
_chemical_formula_sum 'Ce2 As3 Ru1 Rh4'
_cell_length_a 4.001
_cell_length_b 4.001
_cell_length_c 11.244
_cell_angle_alpha 90.00
_cell_angle_beta 90.00
_cell_angle_gamma 90.00
_symmetry_space_group_name_H-M 'P -4 m 2'
_symmetry_Int_Tables_number 115
loop_
_symmetry_equiv_pos_as_xyz
'x,y,z'
'y,-x,-z'
'-x,-y,z'
'-y,x,-z'
'-x,y,z'
'-y,-x,-z'
'x,-y,z'
'y,x,-z'
loop_
_atom_site_label
_atom_site_type_symbol
_atom_site_fract_x
_atom_site_fract_y
_atom_site_fract_z
Ce1 Ce 0.000 0.500 0.232
As1 As 0.000 0.000 0.000
As2 As 0.000 0.500 0.628
Ru1 Ru 0.500 0.500 0.000
Rh1 Rh 0.000 0.000 0.500
Rh2 Rh 0.000 0.500 0.839
Rh3 Rh 0.500 0.500 0.500
# Spin magnetization in μB/f.u.: 0.00
# Calculated total energy in eV per atom: -7.190